# 1
PBE Nb2TeCl2, relaxed; ΔE_f (raw) = 1.565 eV per formula unit; crystal system = tetragonal
1.0
8.2887 0.0000 0.0000
0.0000 8.2887 0.0000
0.0000 0.0000 3.0574
Te Nb Cl
2 4 4
Cartesian
0.0000 0.0000 0.0000 Te
4.1444 4.1444 0.0000 Te
5.1555 7.2776 1.5287 Nb
1.0111 5.1555 1.5287 Nb
3.1332 1.0111 1.5287 Nb
7.2776 3.1332 1.5287 Nb
5.2210 1.0766 0.0000 Cl
3.0677 7.2121 0.0000 Cl
1.0766 3.0677 0.0000 Cl
7.2121 5.2210 0.0000 Cl

---

# 2
PBE As2OsBr, relaxed; ΔE_f (raw) = 3.915 eV per formula unit; distance to the lowest polymorph of the same formula = 0.908 eV/atom; crystal system = tetragonal
1.0
4.6346 0.0040 0.0000
0.0141 4.6346 0.0000
-2.3244 -2.3193 3.2708
As Os Br
2 1 1
Cartesian
0.0000 0.0000 0.0000 As
0.0071 2.3173 1.6354 As
2.3173 0.0020 1.6354 Os
2.3244 2.3193 0.0000 Br

---

no.,magnetic moment (μB per atom)
1,0.000
2,0.000